(1)
BeSi2HgGe: relaxed, PBE.

a b c (Å): 4.427 4.649 4.427
angles (deg): 90.00 90.00 90.00
Sites, in units of the cell vectors:
Be: 0.000 0.000 0.000
Ge: 0.000 0.500 0.000
Si: 0.000 0.000 0.500
Si: 0.500 0.000 0.000
Hg: 0.500 0.500 0.500

Summary:
The uncorrected formation energy comes out at 0.628 eV/atom. Its space group is No. 123. Its crystal system is tetragonal.

=====

(2)
PtWAu2Se: relaxed, PBE.

a b c (Å): 4.855 4.710 4.855
angles (deg): 90.00 90.00 90.00
Sites, in units of the cell vectors:
Se: 0.000 0.000 0.000
Au: 0.000 0.000 0.500
Au: 0.500 0.000 0.000
W: 0.500 0.500 0.500
Pt: 0.000 0.500 0.000

Summary:
The uncorrected formation energy comes out at 1.430 eV/atom. Its space group is No. 123. Its crystal system is tetragonal.

=====

(3)
TaVIr: relaxed, PBE.

a b c (Å): 3.765 3.765 6.882
angles (deg): 90.00 90.00 90.00
Sites, in units of the cell vectors:
Ir: 0.000 0.500 0.770
Ir: 0.500 0.000 0.230
Ta: 0.000 0.500 0.142
Ta: 0.500 0.000 0.858
V: 0.500 0.500 0.500
V: 0.000 0.000 0.500

Summary:
Its space group is No. 129. The calculation puts the energy of formation from the pure elements at -0.26 eV per atom. Its crystal system is tetragonal.

=====

(4)
HfCo3B2: relaxed, PBE.

a b c (Å): 3.276 8.083 8.083
angles (deg): 120.00 90.00 90.00
Sites, in units of the cell vectors:
Hf: 0.500 0.000 0.000
Hf: 0.000 0.667 0.333
Hf: 0.000 0.333 0.667
Co: 0.500 0.500 0.500
Co: 0.500 0.000 0.500
Co: 0.500 0.500 0.000
Co: 0.000 0.716 0.716
Co: 0.000 0.000 0.284
Co: 0.000 0.284 0.000
Co: 0.000 0.284 0.284
Co: 0.000 0.000 0.716
Co: 0.000 0.716 0.000
B: 0.500 0.807 0.193
B: 0.500 0.386 0.193
B: 0.500 0.807 0.614
B: 0.500 0.193 0.807
B: 0.500 0.614 0.807
B: 0.500 0.193 0.386

Summary:
Its space group is No. 191. The calculation puts the energy of formation from the pure elements at -0.47 eV per atom. Its crystal system is hexagonal.

=====

(5)
ZrNiAsH: relaxed, PBE.

a b c (Å): 3.975 3.975 3.652
angles (deg): 90.00 90.00 120.00
Sites, in units of the cell vectors:
Zr: 0.572 0.144 0.312
Ni: 0.239 0.477 0.822
As: 0.905 0.811 0.803
H: 0.239 0.477 0.301

Summary:
Its space group is No. 156. Its crystal system is trigonal.

=====

(6)
La2AlGa3Cu4: relaxed, PBE.

a b c (Å): 4.300 4.300 10.130
angles (deg): 90.00 90.00 90.00
Sites, in units of the cell vectors:
La: 0.500 0.000 0.243
La: 0.000 0.500 0.757
Al: 0.500 0.500 0.500
Ga: 0.000 0.000 0.500
Ga: 0.500 0.000 0.873
Ga: 0.000 0.500 0.127
Cu: 0.500 0.500 0.000
Cu: 0.000 0.000 0.000
Cu: 0.500 0.000 0.630
Cu: 0.000 0.500 0.370

Summary:
Its space group is No. 115. The calculation puts the energy of formation from the pure elements at -0.44 eV per atom. Its crystal system is tetragonal.

=====

(7)
TaSnAsBr2: relaxed, PBE.

a b c (Å): 5.306 5.306 5.458
angles (deg): 90.00 90.00 90.00
Sites, in units of the cell vectors:
As: 0.000 0.000 0.500
Sn: 0.000 0.000 0.000
Br: 0.000 0.500 0.000
Br: 0.500 0.000 0.000
Ta: 0.500 0.500 0.500

Summary:
The uncorrected formation energy comes out at 1.286 eV/atom. Its space group is No. 123. Its crystal system is tetragonal.

=====

(8)
Tm3Ga2Cu: relaxed, PBE.

a b c (Å): 3.389 3.389 11.128
angles (deg): 90.00 90.00 90.00
Sites, in units of the cell vectors:
Tm: 0.000 0.000 0.000
Tm: 0.000 0.000 0.655
Tm: 0.000 0.000 0.345
Ga: 0.500 0.500 0.826
Ga: 0.500 0.500 0.174
Cu: 0.500 0.500 0.500

Summary:
Its space group is No. 123. The calculation puts the energy of formation from the pure elements at -0.48 eV per atom. Its crystal system is tetragonal.

=====

(9)
LiMgTc: relaxed, PBE.

a b c (Å): 7.419 7.260 2.691
angles (deg): 82.79 76.11 21.09
Sites, in units of the cell vectors:
Li: 0.009 0.009 0.991
Mg: 0.326 0.326 0.674
Tc: 0.665 0.665 0.335

Summary:
Its space group is No. 42. The calculation puts the energy of formation from the pure elements at 0.23 eV per atom. Its crystal system is orthorhombic.

=====

(10)
K2ZrMn: relaxed, PBE.

a b c (Å): 7.115 7.115 7.115
angles (deg): 144.81 144.81 50.62
Sites, in units of the cell vectors:
K: 0.000 0.000 0.000
K: 0.500 0.500 0.000
Mn: 0.250 0.750 0.500
Zr: 0.750 0.250 0.500

Summary:
Its space group is No. 139. The calculation puts the energy of formation from the pure elements at 1.04 eV per atom. Its crystal system is tetragonal.

=====

(11)
Tl3Au2: relaxed, PBE.

a b c (Å): 10.110 10.110 10.110
angles (deg): 23.33 23.33 23.33
Sites, in units of the cell vectors:
Au: 0.604 0.604 0.604
Au: 0.396 0.396 0.396
Tl: 0.000 0.000 0.000
Tl: 0.211 0.211 0.211
Tl: 0.789 0.789 0.789

Summary:
Its space group is No. 166. The calculation puts the energy of formation from the pure elements at -0.01 eV per atom. Its crystal system is trigonal.

=====

One value per record, in order, for D(E_F): 2.656, 2.849, 3.031, 5.655, 0.578, 5.989, 10.363, 2.095, 1.280, 4.698, 0.600 states/eV/f.u..
One value per record, in order, for final energy: -16.35, -21.88, -61.20, -142.28, -25.14, -43.47, -17.42, -26.42, -13.19, -15.76, -13.72 eV for the cell shown.